# PBE Sr2AlZn2Pd5, relaxed
data_Sr2AlZn2Pd5
_cell_length_a 3.567
_cell_length_b 10.236
_cell_length_c 10.236
_cell_angle_alpha 90.00
_cell_angle_beta 90.00
_cell_angle_gamma 90.00
_symmetry_space_group_name_H-M 'P 1'
_symmetry_Int_Tables_number 1
_symmetry_space_group_name_Hall 'P 1'
loop_
_atom_site_label
_atom_site_type_symbol
_atom_site_fract_x
_atom_site_fract_y
_atom_site_fract_z
Zn1 Zn 0.000 0.875 0.375
Zn2 Zn 0.000 0.625 0.875
Pd1 Pd 0.500 0.441 0.305
Pd2 Pd 0.500 0.500 0.000
Al1 Al 0.000 0.500 0.500
Sr1 Sr 0.000 0.825 0.675
Pd3 Pd 0.500 0.195 0.059
Al2 Al 0.000 0.000 0.000
Zn3 Zn 0.000 0.375 0.125
Pd4 Pd 0.500 0.000 0.500
Pd5 Pd 0.500 0.695 0.441
Sr2 Sr 0.000 0.175 0.325
Pd6 Pd 0.500 0.805 0.941
Pd7 Pd 0.500 0.059 0.805
Pd8 Pd 0.500 0.559 0.695
Pd9 Pd 0.500 0.305 0.559
Pd10 Pd 0.500 0.941 0.195
Zn4 Zn 0.000 0.125 0.625
Sr3 Sr 0.000 0.325 0.825
Sr4 Sr 0.000 0.675 0.175
# raw total energy: -4.16 eV per atom
# energy relative to the elements: -5.94 eV per formula unit

# PBE SrAlZn2Pd4, relaxed
data_SrAlZn2Pd4
_cell_length_a 4.353
_cell_length_b 4.353
_cell_length_c 9.240
_cell_angle_alpha 76.37
_cell_angle_beta 76.37
_cell_angle_gamma 60.00
_symmetry_space_group_name_H-M 'P 1'
_symmetry_Int_Tables_number 1
_symmetry_space_group_name_Hall 'P 1'
loop_
_atom_site_label
_atom_site_type_symbol
_atom_site_fract_x
_atom_site_fract_y
_atom_site_fract_z
Al1 Al 0.500 0.500 0.500
Pd1 Pd 0.592 0.592 0.225
Sr1 Sr 0.000 0.000 0.000
Pd2 Pd 0.866 0.866 0.402
Pd3 Pd 0.134 0.134 0.598
Pd4 Pd 0.408 0.408 0.775
Zn1 Zn 0.237 0.237 0.289
Zn2 Zn 0.763 0.763 0.711
# raw total energy: -4.22 eV per atom
# energy relative to the elements: -5.03 eV per formula unit

# PBE SrAlZnPd, relaxed
data_SrAlZnPd
_cell_length_a 4.388
_cell_length_b 4.388
_cell_length_c 6.149
_cell_angle_alpha 69.09
_cell_angle_beta 69.09
_cell_angle_gamma 60.00
_symmetry_space_group_name_H-M 'P 1'
_symmetry_Int_Tables_number 1
_symmetry_space_group_name_Hall 'P 1'
loop_
_atom_site_label
_atom_site_type_symbol
_atom_site_fract_x
_atom_site_fract_y
_atom_site_fract_z
Pd1 Pd 0.295 0.295 0.115
Al1 Al 0.615 0.615 0.156
Zn1 Zn 0.005 0.005 0.984
Sr1 Sr 0.811 0.811 0.567
# raw total energy: -3.48 eV per atom
# energy relative to the elements: -2.03 eV per formula unit

# PBE Sr2AlZnPd2, relaxed
data_Sr2AlZnPd2
_cell_length_a 6.184
_cell_length_b 6.258
_cell_length_c 8.722
_cell_angle_alpha 111.02
_cell_angle_beta 110.76
_cell_angle_gamma 90.00
_symmetry_space_group_name_H-M 'P 1'
_symmetry_Int_Tables_number 1
_symmetry_space_group_name_Hall 'P 1'
loop_
_atom_site_label
_atom_site_type_symbol
_atom_site_fract_x
_atom_site_fract_y
_atom_site_fract_z
Pd1 Pd 0.828 0.093 0.186
Sr1 Sr 0.075 0.333 0.666
Sr2 Sr 0.591 0.833 0.666
Zn1 Zn 0.000 0.750 0.000
Sr3 Sr 0.409 0.167 0.334
Pd2 Pd 0.172 0.907 0.814
Sr4 Sr 0.925 0.667 0.334
Pd3 Pd 0.642 0.407 0.814
Pd4 Pd 0.358 0.593 0.186
Al1 Al 0.500 0.750 0.000
Al2 Al 0.500 0.250 0.000
Zn2 Zn 0.000 0.250 0.000
# raw total energy: -3.71 eV per atom
# energy relative to the elements: -3.48 eV per formula unit

# PBE Sr2Al4ZnPd3, relaxed
data_Sr2Al4ZnPd3
_cell_length_a 4.469
_cell_length_b 4.469
_cell_length_c 10.296
_cell_angle_alpha 90.00
_cell_angle_beta 90.00
_cell_angle_gamma 90.00
_symmetry_space_group_name_H-M 'P 1'
_symmetry_Int_Tables_number 1
_symmetry_space_group_name_Hall 'P 1'
loop_
_atom_site_label
_atom_site_type_symbol
_atom_site_fract_x
_atom_site_fract_y
_atom_site_fract_z
Pd1 Pd 0.000 0.500 0.125
Al1 Al 0.000 0.000 0.000
Al2 Al 0.500 0.500 0.000
Al3 Al 0.000 0.500 0.374
Sr1 Sr 0.000 0.500 0.745
Zn1 Zn 0.500 0.500 0.500
Sr2 Sr 0.500 0.000 0.255
Pd2 Pd 0.000 0.000 0.500
Pd3 Pd 0.500 0.000 0.875
Al4 Al 0.500 0.000 0.626
# raw total energy: -4.14 eV per atom
# energy relative to the elements: -6.24 eV per formula unit

# PBE TaAlPd2, relaxed
data_TaAlPd2
_cell_length_a 2.891
_cell_length_b 2.891
_cell_length_c 7.378
_cell_angle_alpha 90.00
_cell_angle_beta 90.00
_cell_angle_gamma 90.00
_symmetry_space_group_name_H-M 'P 1'
_symmetry_Int_Tables_number 1
_symmetry_space_group_name_Hall 'P 1'
loop_
_atom_site_label
_atom_site_type_symbol
_atom_site_fract_x
_atom_site_fract_y
_atom_site_fract_z
Pd1 Pd 0.000 0.000 0.776
Al1 Al 0.500 0.500 0.000
Ta1 Ta 0.500 0.500 0.500
Pd2 Pd 0.000 0.000 0.224
# raw total energy: -7.08 eV per atom
# energy relative to the elements: -2.33 eV per formula unit

# PBE TaAl2Pd, relaxed
data_TaAl2Pd
_cell_length_a 7.024
_cell_length_b 7.024
_cell_length_c 5.697
_cell_angle_alpha 51.94
_cell_angle_beta 51.94
_cell_angle_gamma 90.00
_symmetry_space_group_name_H-M 'P 1'
_symmetry_Int_Tables_number 1
_symmetry_space_group_name_Hall 'P 1'
loop_
_atom_site_label
_atom_site_type_symbol
_atom_site_fract_x
_atom_site_fract_y
_atom_site_fract_z
Al1 Al 0.375 0.407 0.750
Pd1 Pd 0.250 0.750 0.500
Al2 Al 0.593 0.125 0.250
Ta1 Ta 0.000 0.000 0.000
Ta2 Ta 0.750 0.250 0.500
Pd2 Pd 0.500 0.500 0.000
Al3 Al 0.875 0.843 0.750
Al4 Al 0.157 0.625 0.250
# raw total energy: -6.16 eV per atom
# energy relative to the elements: -0.09 eV per formula unit

# PBE TaAl2Pd, relaxed
data_TaAl2Pd
_cell_length_a 3.739
_cell_length_b 4.100
_cell_length_c 4.100
_cell_angle_alpha 90.00
_cell_angle_beta 90.00
_cell_angle_gamma 90.00
_symmetry_space_group_name_H-M 'P 1'
_symmetry_Int_Tables_number 1
_symmetry_space_group_name_Hall 'P 1'
loop_
_atom_site_label
_atom_site_type_symbol
_atom_site_fract_x
_atom_site_fract_y
_atom_site_fract_z
Al1 Al 0.000 0.500 0.000
Al2 Al 0.000 0.000 0.500
Ta1 Ta 0.500 0.000 0.000
Pd1 Pd 0.500 0.500 0.500
# raw total energy: -6.57 eV per atom
# energy relative to the elements: -1.76 eV per formula unit

# PBE TaAlPd2, relaxed
data_TaAlPd2
_cell_length_a 3.938
_cell_length_b 3.938
_cell_length_c 9.308
_cell_angle_alpha 77.79
_cell_angle_beta 77.79
_cell_angle_gamma 90.00
_symmetry_space_group_name_H-M 'P 1'
_symmetry_Int_Tables_number 1
_symmetry_space_group_name_Hall 'P 1'
loop_
_atom_site_label
_atom_site_type_symbol
_atom_site_fract_x
_atom_site_fract_y
_atom_site_fract_z
Pd1 Pd 0.875 0.866 0.750
Pd2 Pd 0.375 0.384 0.750
Pd3 Pd 0.134 0.625 0.250
Ta1 Ta 0.750 0.250 0.500
Ta2 Ta 0.000 0.000 0.000
Al1 Al 0.500 0.500 0.000
Al2 Al 0.250 0.750 0.500
Pd4 Pd 0.616 0.125 0.250
# raw total energy: -6.56 eV per atom
# energy relative to the elements: -0.27 eV per formula unit

# PBE TaAl4Pd5, relaxed
data_TaAl4Pd5
_cell_length_a 3.007
_cell_length_b 3.007
_cell_length_c 16.498
_cell_angle_alpha 90.00
_cell_angle_beta 90.00
_cell_angle_gamma 90.00
_symmetry_space_group_name_H-M 'P 1'
_symmetry_Int_Tables_number 1
_symmetry_space_group_name_Hall 'P 1'
loop_
_atom_site_label
_atom_site_type_symbol
_atom_site_fract_x
_atom_site_fract_y
_atom_site_fract_z
Ta1 Ta 0.000 0.000 0.000
Pd1 Pd 0.500 0.500 0.118
Al1 Al 0.000 0.000 0.596
Al2 Al 0.000 0.000 0.211
Al3 Al 0.000 0.000 0.404
Pd2 Pd 0.500 0.500 0.882
Al4 Al 0.000 0.000 0.789
Pd3 Pd 0.500 0.500 0.307
Pd4 Pd 0.500 0.500 0.693
Pd5 Pd 0.500 0.500 0.500
# raw total energy: -6.01 eV per atom
# energy relative to the elements: -7.33 eV per formula unit

# PBE Ta2Al2Pd, relaxed
data_Ta2Al2Pd
_cell_length_a 6.338
_cell_length_b 6.338
_cell_length_c 4.129
_cell_angle_alpha 90.00
_cell_angle_beta 90.00
_cell_angle_gamma 90.00
_symmetry_space_group_name_H-M 'P 1'
_symmetry_Int_Tables_number 1
_symmetry_space_group_name_Hall 'P 1'
loop_
_atom_site_label
_atom_site_type_symbol
_atom_site_fract_x
_atom_site_fract_y
_atom_site_fract_z
Al1 Al 0.359 0.859 0.000
Ta1 Ta 0.343 0.157 0.500
Al2 Al 0.859 0.641 0.000
Ta2 Ta 0.843 0.343 0.500
Al3 Al 0.141 0.359 0.000
Ta3 Ta 0.157 0.657 0.500
Pd1 Pd 0.500 0.500 0.000
Pd2 Pd 0.000 0.000 0.000
Al4 Al 0.641 0.141 0.000
Ta4 Ta 0.657 0.843 0.500
# raw total energy: -7.54 eV per atom
# energy relative to the elements: -1.32 eV per formula unit

Please write out number 9 again, unchanged.
# PBE TaAlPd2, relaxed
data_TaAlPd2
_cell_length_a 3.938
_cell_length_b 3.938
_cell_length_c 9.308
_cell_angle_alpha 77.79
_cell_angle_beta 77.79
_cell_angle_gamma 90.00
_symmetry_space_group_name_H-M 'P 1'
_symmetry_Int_Tables_number 1
_symmetry_space_group_name_Hall 'P 1'
loop_
_atom_site_label
_atom_site_type_symbol
_atom_site_fract_x
_atom_site_fract_y
_atom_site_fract_z
Pd1 Pd 0.875 0.866 0.750
Pd2 Pd 0.375 0.384 0.750
Pd3 Pd 0.134 0.625 0.250
Ta1 Ta 0.750 0.250 0.500
Ta2 Ta 0.000 0.000 0.000
Al1 Al 0.500 0.500 0.000
Al2 Al 0.250 0.750 0.500
Pd4 Pd 0.616 0.125 0.250
# raw total energy: -6.56 eV per atom
# energy relative to the elements: -0.27 eV per formula unit

- Which value of raw total energy does entry 8 give?
  -6.57 eV per atom